{"formula": "GdZrNb", "functional": "PBE", "state": "relaxed", "dos_at_fermi_per_ev_atom": 1.33, "space_group": "No. 107", "energy_ev_per_fu": -31.89, "lattice": [[-2.068, -0.379, -2.292], [-1.675, -1.883, 1.823], [-1.992, 7.005, 2.750]], "species": ["Zr", "Nb", "Gd"], "fractional_positions": [[0.315, 0.315, 0.630], [0.672, 0.672, 0.345], [0.013, 0.013, 0.025]]}

***

{"formula": "MnCu2Te", "functional": "PBE", "state": "relaxed", "dos_at_fermi_per_ev_atom": 0.80, "space_group": "No. 99", "raw_formation_energy_ev_per_fu": 0.96, "lattice": [[3.410, 0.000, 0.000], [0.000, 3.410, 0.000], [0.000, 0.000, 5.520]], "species": ["Cu", "Cu", "Mn", "Te"], "fractional_positions": [[0.500, 0.500, 0.230], [0.000, 0.000, 0.043], [0.000, 0.000, 0.495], [0.500, 0.500, 0.731]]}

***

{"formula": "Ba2DyZrSe6", "functional": "PBE", "state": "relaxed", "dos_at_fermi_per_ev_atom": 0.59, "space_group": "No. 59", "raw_formation_energy_ev_per_fu": -15.87, "lattice": [[7.653, 0.000, 0.000], [0.000, 7.621, 0.000], [0.000, 0.000, 10.788]], "species": ["Zr", "Se", "Zr", "Ba", "Se", "Se", "Se", "Se", "Se", "Ba", "Dy", "Se", "Se", "Ba", "Se", "Se", "Dy", "Ba", "Se", "Se"], "fractional_positions": [[0.500, 0.260, 0.000], [0.763, 0.489, 0.500], [0.000, 0.740, 0.500], [0.000, 0.229, 0.735], [0.237, 0.489, 0.500], [0.500, 0.238, 0.245], [0.751, 0.983, 0.500], [0.500, 0.238, 0.755], [0.249, 0.983, 0.500], [0.500, 0.771, 0.235], [0.000, 0.757, 0.000], [0.000, 0.762, 0.745], [0.737, 0.511, 0.000], [0.000, 0.229, 0.265], [0.263, 0.511, 0.000], [0.000, 0.762, 0.255], [0.500, 0.243, 0.500], [0.500, 0.771, 0.765], [0.251, 0.017, 0.000], [0.749, 0.017, 0.000]]}

***

{"formula": "AcRu2O7", "functional": "PBE", "state": "relaxed", "dos_at_fermi_per_ev_atom": 0.62, "space_group": "No. 65", "raw_formation_energy_ev_per_fu": -13.83, "lattice": [[3.844, 0.000, 0.000], [0.000, 5.904, 0.108], [0.000, -2.507, 5.346]], "species": ["O", "O", "O", "O", "Ru", "O", "O", "O", "Ac", "Ru"], "fractional_positions": [[0.500, 0.042, 0.323], [0.500, 0.677, 0.958], [0.000, 0.295, 0.705], [0.500, 0.500, 0.500], [0.500, 0.693, 0.307], [0.500, 0.323, 0.042], [0.000, 0.705, 0.295], [0.500, 0.958, 0.677], [0.000, 0.000, 0.000], [0.500, 0.307, 0.693]]}

***

{"formula": "YTc2Ni2", "functional": "PBE", "state": "relaxed", "dos_at_fermi_per_ev_atom": 0.92, "space_group": "No. 127", "relative_energy_mev_per_atom": 168, "lattice": [[7.520, 0.000, 0.000], [0.000, 7.520, 0.000], [0.000, 0.000, 2.725]], "species": ["Tc", "Y", "Tc", "Tc", "Ni", "Ni", "Tc", "Y", "Ni", "Ni"], "fractional_positions": [[0.886, 0.614, 0.000], [0.000, 0.000, 0.000], [0.386, 0.886, 0.000], [0.114, 0.386, 0.000], [0.180, 0.680, 0.500], [0.820, 0.320, 0.500], [0.614, 0.114, 0.000], [0.500, 0.500, 0.000], [0.320, 0.180, 0.500], [0.680, 0.820, 0.500]]}

***

{"formula": "TbNdErPu", "functional": "PBE", "state": "relaxed", "dos_at_fermi_per_ev_atom": 2.93, "space_group": "No. 216", "energy_ev_per_fu": -27.47, "lattice": [[-0.226, 0.187, -5.620], [3.210, -3.463, -3.061], [-2.362, -4.230, -2.863]], "species": ["Nd", "Tb", "Er", "Pu"], "fractional_positions": [[0.250, 0.250, 0.250], [0.750, 0.750, 0.750], [0.000, 0.000, 0.000], [0.500, 0.500, 0.500]]}